Version P
{
  "formula": "ZnPSe2",
  "functional": "GGA-PBE",
  "state": "optimized geometry",
  "dos_ef_per_ev_cell": 1.45,
  "total_magnetization_mub_per_fu": 0.0,
  "crystal_system": "tetragonal",
  "lattice": [[-1.921, 1.921, 5.261], [1.921, -1.921, 5.261], [1.921, 1.921, -5.261]],
  "species": ["Zn", "P", "Se", "Se"],
  "fractional_positions": [[0.000, 0.000, 0.000], [0.751, 0.751, 0.000], [0.249, 0.249, 0.000], [0.521, 0.521, 0.000]]
}

***

Version Q
{
  "formula": "ZnPSe2",
  "functional": "GGA-PBE",
  "state": "optimized geometry",
  "dos_ef_per_ev_cell": 2.00,
  "total_magnetization_mub_per_fu": 0.0,
  "crystal_system": "orthorhombic",
  "lattice": [[1.680, -2.841, 0.000], [1.680, 2.841, 0.000], [0.000, 0.000, 9.087]],
  "species": ["Zn", "P", "Se", "Se"],
  "fractional_positions": [[0.000, 0.000, 0.000], [0.500, 0.500, 0.208], [0.000, 0.000, 0.402], [0.500, 0.500, 0.802]]
}

***

Version R
{
  "formula": "ZnPSe2",
  "functional": "GGA-PBE",
  "state": "optimized geometry",
  "dos_ef_per_ev_cell": 1.07,
  "total_magnetization_mub_per_fu": 0.0,
  "crystal_system": "monoclinic",
  "lattice": [[3.722, 0.000, 0.000], [0.000, 3.510, 0.000], [-1.753, 0.000, 6.715]],
  "species": ["Zn", "P", "Se", "Se"],
  "fractional_positions": [[0.000, 0.000, 0.000], [0.000, 0.000, 0.500], [0.182, 0.500, 0.765], [0.818, 0.500, 0.235]]
}

***

Version S
{
  "formula": "ZnPSe2",
  "functional": "GGA-PBE",
  "state": "optimized geometry",
  "dos_ef_per_ev_cell": 1.77,
  "total_magnetization_mub_per_fu": 0.0,
  "crystal_system": "tetragonal",
  "lattice": [[-2.667, 2.667, 6.836], [2.667, -2.667, 6.836], [2.667, 2.667, -6.836]],
  "species": ["Zn", "Zn", "P", "P", "Se", "Se", "Se", "Se"],
  "fractional_positions": [[0.000, 0.000, 0.000], [0.750, 0.250, 0.500], [0.250, 0.750, 0.500], [0.500, 0.500, 0.000], [0.135, 0.625, 0.010], [0.375, 0.385, 0.510], [0.615, 0.125, 0.990], [0.875, 0.865, 0.490]]
}

***

Energy comparison, zero being the most stable, in kJ/mol of atoms: version P 0.0; version Q 30.7; version R 14.1; version S 5.5.

***

Version P
{
  "formula": "ZnPSe2",
  "functional": "GGA-PBE",
  "state": "optimized geometry",
  "dos_ef_per_ev_cell": 3.88,
  "total_magnetization_mub_per_fu": 0.0,
  "crystal_system": "cubic",
  "lattice": [[0.000, 3.318, 3.318], [3.318, 0.000, 3.318], [3.318, 3.318, 0.000]],
  "species": ["Zn", "P", "Se", "Se"],
  "fractional_positions": [[0.000, 0.000, 0.000], [0.750, 0.750, 0.750], [0.250, 0.250, 0.250], [0.500, 0.500, 0.500]]
}

***

Version Q
{
  "formula": "ZnPSe2",
  "functional": "GGA-PBE",
  "state": "optimized geometry",
  "dos_ef_per_ev_cell": 2.09,
  "total_magnetization_mub_per_fu": 0.0,
  "crystal_system": "monoclinic",
  "lattice": [[3.559, -3.562, 0.000], [3.559, 3.562, 0.000], [-0.346, 0.000, 3.769]],
  "species": ["Zn", "P", "Se", "Se"],
  "fractional_positions": [[0.000, 0.000, 0.000], [0.500, 0.500, 0.000], [0.000, 0.500, 0.000], [0.500, 0.000, 0.000]]
}

***

Version R
{
  "formula": "ZnPSe2",
  "functional": "GGA-PBE",
  "state": "optimized geometry",
  "dos_ef_per_ev_cell": 1.35,
  "total_magnetization_mub_per_fu": 0.0,
  "crystal_system": "monoclinic",
  "lattice": [[4.528, 0.000, 0.000], [0.000, 3.424, 0.000], [-2.198, 0.000, 6.094]],
  "species": ["Zn", "P", "Se", "Se"],
  "fractional_positions": [[0.000, 0.000, 0.000], [0.660, 0.500, 0.105], [0.228, 0.500, 0.800], [0.525, 0.000, 0.340]]
}

***

Version S
{
  "formula": "ZnPSe2",
  "functional": "GGA-PBE",
  "state": "optimized geometry",
  "dos_ef_per_ev_cell": 2.35,
  "total_magnetization_mub_per_fu": 0.0,
  "crystal_system": "orthorhombic",
  "lattice": [[-1.888, 1.958, 5.881], [1.888, -1.958, 5.881], [1.888, 1.958, -5.881]],
  "species": ["Zn", "P", "Se", "Se"],
  "fractional_positions": [[0.000, 0.000, 0.000], [0.500, 0.500, 0.000], [0.153, 0.653, 0.500], [0.847, 0.347, 0.500]]
}

***

Energy comparison, zero being the most stable, in kJ/mol of atoms: version P 62.0; version Q 21.7; version R 0.0; version S 18.4.